Entry 1:
ZnSnSN2: optimized geometry, PBE.

Cell and atoms, written as CIF:
```
data_ZnSnSN2
_chemical_formula_sum 'Zn1 Sn1 S1 N2'
_symmetry_space_group_name_H-M 'P 4/m m m'
_symmetry_Int_Tables_number 123
_symmetry_space_group_name_Hall '-P 4 2'
_cell_length_a 4.0207
_cell_length_b 4.0207
_cell_length_c 5.1738
_cell_angle_alpha 90.00
_cell_angle_beta 90.00
_cell_angle_gamma 90.00
loop_
_atom_site_label
_atom_site_type_symbol
_atom_site_fract_x
_atom_site_fract_y
_atom_site_fract_z
Zn1 Zn 0.0000 0.0000 0.0000
Sn1 Sn 0.5000 0.5000 0.5000
S1 S 0.0000 0.0000 0.5000
N1 N 0.0000 0.5000 0.0000
```

Properties
E_form (uncorrected), eV per atom: 1.201
Offset from the most stable computed form, eV per atom: 0.0000
Raw total energy, eV per atom: -4.010
V, Å³ per atom: 16.728

Entry 2:
ZnSnSN2: optimized geometry, PBE.

Cell and atoms, written as CIF:
```
data_ZnSnSN2
_chemical_formula_sum 'Zn1 Sn1 S1 N2'
_symmetry_space_group_name_H-M 'P 4/m m m'
_symmetry_Int_Tables_number 123
_symmetry_space_group_name_Hall '-P 4 2'
_cell_length_a 4.0622
_cell_length_b 4.0622
_cell_length_c 5.5046
_cell_angle_alpha 90.00
_cell_angle_beta 90.00
_cell_angle_gamma 90.00
loop_
_atom_site_label
_atom_site_type_symbol
_atom_site_fract_x
_atom_site_fract_y
_atom_site_fract_z
Zn1 Zn 0.0000 0.0000 0.0000
Sn1 Sn 0.5000 0.5000 0.5000
S1 S 0.5000 0.5000 0.0000
N1 N 0.0000 0.5000 0.5000
```

Properties
E_form (uncorrected), eV per atom: 1.217
Offset from the most stable computed form, eV per atom: 0.0162
Raw total energy, eV per atom: -3.994
V, Å³ per atom: 18.167

Entry 3:
ZnSnS2N: optimized geometry, PBE.

Cell and atoms, written as CIF:
```
data_ZnSnS2N
_chemical_formula_sum 'Zn1 Sn1 S2 N1'
_symmetry_space_group_name_H-M 'P 4/m m m'
_symmetry_Int_Tables_number 123
_symmetry_space_group_name_Hall '-P 4 2'
_cell_length_a 4.9365
_cell_length_b 4.9365
_cell_length_c 3.8549
_cell_angle_alpha 90.00
_cell_angle_beta 90.00
_cell_angle_gamma 90.00
loop_
_atom_site_label
_atom_site_type_symbol
_atom_site_fract_x
_atom_site_fract_y
_atom_site_fract_z
Zn1 Zn 0.0000 0.0000 0.0000
Sn1 Sn 0.5000 0.5000 0.5000
S1 S 0.0000 0.5000 0.0000
N1 N 0.0000 0.0000 0.5000
```

Properties
E_form (uncorrected), eV per atom: 0.614
Offset from the most stable computed form, eV per atom: 0.0000
Raw total energy, eV per atom: -3.757
V, Å³ per atom: 18.788

Entry 4:
ZrSnSN2: optimized geometry, PBE.

Cell and atoms, written as CIF:
```
data_ZrSnSN2
_chemical_formula_sum 'Zr1 Sn1 S1 N2'
_symmetry_space_group_name_H-M 'P 4/m m m'
_symmetry_Int_Tables_number 123
_symmetry_space_group_name_Hall '-P 4 2'
_cell_length_a 4.0448
_cell_length_b 4.0448
_cell_length_c 4.9683
_cell_angle_alpha 90.00
_cell_angle_beta 90.00
_cell_angle_gamma 90.00
loop_
_atom_site_label
_atom_site_type_symbol
_atom_site_fract_x
_atom_site_fract_y
_atom_site_fract_z
Zr1 Zr 0.0000 0.0000 0.0000
Sn1 Sn 0.5000 0.5000 0.5000
S1 S 0.5000 0.5000 0.0000
N1 N 0.0000 0.5000 0.5000
```

Properties
E_form (uncorrected), eV per atom: 0.634
Offset from the most stable computed form, eV per atom: 0.5574
Raw total energy, eV per atom: -6.031
V, Å³ per atom: 16.257